HoV2O4: optimized geometry, PBE with a Hubbard U.

Lattice parameters (Å, degrees): 9.5376 7.0106 6.7835 90.00 133.61 90.00
With the nearest neighbours (Å) after each atom.
Space group C2/c (No. 15)
Symmetry-distinct sites (fractional):
Ho  0.0000  0.1197  0.2500 x4  4 O 2.20-2.24
V  0.0000  0.5000  0.0000 x4  6 O 2.06-2.18
V  0.2500  0.2500  0.0000 x4  6 O 2.11-2.18
O  0.0036  0.2117  0.5640 x8  3 V 2.06-2.18, 1 Ho 2.20
O  0.1844  0.4558  0.4353 x8  3 V 2.11-2.18, 1 Ho 2.24

Computed properties:
E_tot, eV for the cell shown: -226.54
Total magnetization, μB per cell: 20.0